This record from the Alexandria database describes KNiF2 after structural relaxation. The functional is PBE+U.

Values from the calculation:
E_tot   -11.82 eV per cell
Relative energy among the computed polymorphs   677 meV/atom
N(E_F)   3.236 states/eV per atom
Total magnetic moment   1.0 μB/f.u.

Unit cell a=4.269 b=4.269 c=4.269 alpha=60.00 beta=60.00 gamma=60.00
Last column: magnetic moment on the atom in μB.
Element x y z (fractional)
F: 0.250 0.250 0.250  0.02
Ni: 0.500 0.500 0.500  0.99
F: 0.750 0.750 0.750  0.02
K: 0.000 0.000 0.000  0.00